Record 1
Here is a relaxed structure of Sr2YV from Alexandria. Energies are from PBE-GGA.

The space group is Fm-3m (No. 225) and the conventional cell measures 8.262, 8.262 and 8.262 Å, with angles of 90.00, 90.00 and 90.00 degrees. The inequivalent atoms are Sr at (0.250, 0.250, 0.250), Y at (0.000, 0.000, 0.000) and V at (0.000, 0.000, 0.500).

For the magnetization, the calculation gives 0.9805 μB/atom. The formation energy is 698 meV per atom. The value obtained for the density of states at the Fermi level is 28.08 states/eV/cell. As for the crystal system: cubic. The relative energy among the computed polymorphs is 0 meV per atom. Its total energy is -4.0382 eV per atom.


Record 2
Here is a relaxed structure of Tm5ZnCo from Alexandria. Energies are from PBE-GGA.

The space group is C2/c (No. 15) and the conventional cell measures 9.073, 6.991 and 11.548 Å, with angles of 90.00, 106.62 and 90.00 degrees. The inequivalent atoms are Tm at (0.000, 0.007, 0.250), Tm at (0.122, 0.328, 0.569), Tm at (0.248, 0.164, 0.126), Zn at (0.000, 0.419, 0.250) and Co at (0.000, 0.000, 0.000).

For the magnetization, the calculation gives 0.0000 μB/atom. The formation energy is -49 meV per atom. The value obtained for the density of states at the Fermi level is 27.86 states/eV/cell. As for the crystal system: monoclinic. Its total energy is -4.4405 eV per atom.


Record 3
Here is a relaxed structure of Tl6Hg23Te from Alexandria. Energies are from PBE-GGA.

The space group is Fm-3m (No. 225) and the conventional cell measures 15.171, 15.171 and 15.171 Å, with angles of 90.00, 90.00 and 90.00 degrees. The inequivalent atoms are Tl at (0.000, 0.000, 0.220), Hg at (0.000, 0.000, 0.500), Hg at (0.000, 0.250, 0.250), Hg at (0.119, 0.119, 0.381), Hg at (0.161, 0.161, 0.161) and Te at (0.000, 0.000, 0.000).

For the magnetization, the calculation gives 0.0000 μB/atom. As for the formation energy without anion corrections: -0.0337 eV/atom. The value obtained for the density of states at the Fermi level is 17.04 states/eV/cell. As for the crystal system: cubic. Its total energy is -0.8430 eV per atom.


Record 4
Here is a relaxed structure of Y2MgMnH from Alexandria. Energies are from PBE-GGA.

The space group is P4/mmm (No. 123) and the conventional cell measures 5.097, 5.097 and 3.778 Å, with angles of 90.00, 90.00 and 90.00 degrees. The inequivalent atoms are Y at (0.000, 0.500, 0.000), Mg at (0.000, 0.000, 0.500), Mn at (0.500, 0.500, 0.500) and H at (0.500, 0.500, 0.000).

For the magnetization, the calculation gives 0.5687 μB/atom. The value obtained for the density of states at the Fermi level is 5.01 states/eV/cell. As for the crystal system: tetragonal. Its total energy is -5.4706 eV per atom.


Record 5
Here is a relaxed structure of CsBaCuCl4 from Alexandria. Energies are from PBE-GGA.

The space group is P2_1/m (No. 11) and the conventional cell measures 6.939, 7.111 and 9.589 Å, with angles of 90.00, 109.33 and 90.00 degrees. The inequivalent atoms are Cs at (0.236, 0.250, 0.435), Ba at (0.264, 0.250, 0.947), Cu at (0.284, 0.750, 0.187), Cl at (0.098, 0.750, 0.932), Cl at (0.102, 0.750, 0.347) and Cl at (0.486, 0.503, 0.778).

For the magnetization, the calculation gives 0.0212 μB/atom. As for the formation energy without anion corrections: -1.7829 eV/atom. The value obtained for the density of states at the Fermi level is 0.00 states/eV/cell. As for the crystal system: monoclinic. Its total energy is -3.8199 eV per atom.


Record 6
Here is a relaxed structure of AcGaIr from Alexandria. Energies are from PBE-GGA.

The space group is Cmcm (No. 63) and the conventional cell measures 4.349, 7.765 and 8.618 Å, with angles of 90.00, 90.00 and 90.00 degrees. The inequivalent atoms are Ac at (0.000, 0.000, 0.000), Ga at (0.000, 0.329, 0.250) and Ir at (0.000, 0.342, 0.750).

For the magnetization, the calculation gives 0.0000 μB/atom. The formation energy is -700 meV per atom. The value obtained for the density of states at the Fermi level is 9.05 states/eV/cell. As for the crystal system: orthorhombic. The relative energy among the computed polymorphs is 0 meV per atom. Its total energy is -6.0319 eV per atom.


Record 7
Here is a relaxed structure of Rb2InAs from Alexandria. Energies are from PBE-GGA.

The space group is I-42d (No. 122) and the conventional cell measures 5.134, 5.134 and 23.907 Å, with angles of 90.00, 90.00 and 90.00 degrees. The inequivalent atoms are Rb at (0.237, 0.250, 0.125), In at (0.000, 0.000, 0.500) and As at (0.000, 0.000, 0.000).

For the magnetization, the calculation gives 0.0412 μB/atom. The formation energy is 244 meV per atom. The value obtained for the density of states at the Fermi level is 14.68 states/eV/cell. As for the crystal system: tetragonal. The relative energy among the computed polymorphs is 556 meV per atom. Its total energy is -2.0865 eV per atom.


Record 8
Here is a relaxed structure of ZrInMo2 from Alexandria. Energies are from PBE-GGA.

The space group is Pmmm (No. 47) and the conventional cell measures 2.862, 4.428 and 5.957 Å, with angles of 90.00, 90.00 and 90.00 degrees. The inequivalent atoms are Zr at (0.000, 0.000, 0.000), In at (0.000, 0.000, 0.500) and Mo at (0.500, 0.500, 0.273).

For the magnetization, the calculation gives 0.0002 μB/atom. The formation energy is 335 meV per atom. The value obtained for the density of states at the Fermi level is 5.75 states/eV/cell. As for the crystal system: orthorhombic. Its total energy is -7.9020 eV per atom.


Record 9
Here is a relaxed structure of Tm2PuTi from Alexandria. Energies are from PBE-GGA.

The space group is R-3m (No. 166, hexagonal axes) and the conventional cell measures 3.2618, 3.2618 and 34.3219 Å, with angles of 90.00, 90.00 and 120.00 degrees. The inequivalent atoms are Tm at (0.0000, 0.0000, 0.0852), Pu at (0.0000, 0.0000, 0.5000) and Ti at (0.0000, 0.0000, 0.0000).

For the magnetization, the calculation gives 0.9129 μB/atom. The formation energy is 435 meV per atom. The value obtained for the density of states at the Fermi level is 32.19 states/eV/cell. As for the crystal system: trigonal. Its total energy is -7.3577 eV per atom.


Record 10
Here is a relaxed structure of PmTm2OsO8 from Alexandria. Energies are from PBE-GGA.

The space group is P2/m (No. 10) and the conventional cell measures 5.015, 6.800 and 5.022 Å, with angles of 90.00, 90.37 and 90.00 degrees. The inequivalent atoms are Pm at (0.000, 0.000, 0.000), Tm at (0.500, 0.247, 0.500), Os at (0.000, 0.500, 0.000), O at (0.189, 0.295, 0.187), O at (0.265, 0.500, 0.733) and O at (0.314, 0.000, 0.683).

For the magnetization, the calculation gives 0.0869 μB/atom. As for the formation energy without anion corrections: -2.5394 eV/atom. The value obtained for the density of states at the Fermi level is 3.53 states/eV/cell. As for the crystal system: monoclinic. Its total energy is -7.9218 eV per atom.


Record 11
Here is a relaxed structure of Li2PdPb2 from Alexandria. Energies are from PBE-GGA.

The space group is Ibam (No. 72) and the conventional cell measures 5.936, 12.572 and 5.795 Å, with angles of 90.00, 90.00 and 90.00 degrees. The inequivalent atoms are Li at (0.170, 0.086, 0.000), Pd at (0.000, 0.500, 0.250) and Pb at (0.181, 0.323, 0.000).

For the magnetization, the calculation gives 0.0000 μB/atom. The formation energy is -280 meV per atom. The value obtained for the density of states at the Fermi level is 10.88 states/eV/cell. As for the crystal system: orthorhombic. Its total energy is -3.5678 eV per atom.


Record 12
Here is a relaxed structure of Be5C from Alexandria. Energies are from PBE-GGA.

The space group is P4/mmm (No. 123) and the conventional cell measures 2.270, 2.270 and 9.094 Å, with angles of 90.00, 90.00 and 90.00 degrees. The inequivalent atoms are Be at (0.000, 0.000, 0.000), Be at (0.000, 0.000, 0.364), Be at (0.500, 0.500, 0.175) and C at (0.500, 0.500, 0.500).

For the magnetization, the calculation gives 0.0000 μB/atom. The formation energy is 573 meV per atom. The value obtained for the density of states at the Fermi level is 0.91 states/eV/cell. As for the crystal system: tetragonal. The relative energy among the computed polymorphs is 277 meV per atom. Its total energy is -4.0696 eV per atom.